1.
Here is a relaxed structure of Be2Co3Si from Alexandria via LeMat-Bulk. Energies are from PBE.

abc: 3.7577 5.9386 5.2725
angles: 90.00 89.99 71.56
Last column: nearest neighbours and their distance in Å.
Element x y z (fractional)
Be (0.0000, 0.0000, 0.0000)  8 Co 2.31-2.32
Be (0.0000, 0.0000, 0.5000)  8 Co 2.27-2.28
Be (0.3319, 0.3362, 0.5000)  8 Co 2.27-2.28
Be (0.6681, 0.6638, 0.5000)  8 Co 2.27-2.28
Co (0.8340, 0.3326, 0.7450)  5 Be 2.27-2.31, 3 Si 2.31-2.36
Co (0.4995, 0.0000, 0.2579)  6 Be 2.27-2.32, 2 Si 2.28
Co (0.1660, 0.6674, 0.2550)  5 Be 2.27-2.31, 3 Si 2.31-2.36
Co (0.8334, 0.3326, 0.2550)  5 Be 2.27-2.31, 3 Si 2.31-2.36
Co (0.1666, 0.6674, 0.7450)  5 Be 2.27-2.31, 3 Si 2.31-2.36
Co (0.5005, 0.0000, 0.7421)  6 Be 2.27-2.32, 2 Si 2.28
Si (0.3381, 0.3237, 0.0000)  8 Co 2.28-2.36
Si (0.6619, 0.6763, 0.0000)  8 Co 2.28-2.36

Properties
Raw formation energy (kJ/mol of atoms): -49.8
Calculated total energy (eV/atom): -6.215
D(E_F) (states/eV/cell): 2.61

=====

2.
Here is a relaxed structure of BeCoSi2 from Alexandria via LeMat-Bulk. Energies are from PBE.

abc: 3.6771 2.8577 4.4818
angles: 71.29 90.00 90.00
Last column: nearest neighbours and their distance in Å.
Element x y z (fractional)
Be (0.0000, 0.7014, 0.4716)  2 Co 2.23, 7 Si 2.26-2.45
Si (0.0000, 0.9663, 0.9394)  3 Be 2.26-2.45, 4 Co 2.44
Si (0.5000, 0.2785, 0.3214)  3 Co 2.35-2.37, 4 Be 2.41-2.42
Co (0.5000, 0.5538, 0.7676)  2 Be 2.23, 7 Si 2.35-2.44

Properties
Raw formation energy (kJ/mol of atoms): -12.8
Calculated total energy (eV/atom): -5.553
D(E_F) (states/eV/cell): 2.07